# 1
The following is a GGA-PBE calculation of a geometry-optimized Li2AgI structure, from Alexandria.

Values from the calculation:
The calculation puts the formation energy without anion corrections at -0.3058 eV/atom. The spin magnetization is 0.000 μB/cell. For the final energy, the calculation gives -9.5 eV/cell. The theoretical density comes out at 4.494 g/cm3.

a = 5.065 Å, b = 5.065 Å, c = 5.065 Å
α = 60.00°, β = 60.00°, γ = 60.00°
Sites, in units of the cell vectors:
I  0.500  0.500  0.500
Ag  0.000  0.000  0.000
Li  0.250  0.250  0.250
Li  0.750  0.750  0.750

---

# 2
The following is a GGA-PBE calculation of a geometry-optimized NbGaMo2 structure, from Alexandria.

Values from the calculation:
The spin magnetization is 0.000 μB/cell. For the final energy, the calculation gives -35.0 eV/cell. The theoretical density comes out at 9.126 g/cm3.

a = 4.082 Å, b = 3.975 Å, c = 3.975 Å
α = 90.00°, β = 90.00°, γ = 90.00°
Sites, in units of the cell vectors:
Mo  0.000  0.000  0.500
Mo  0.000  0.500  0.000
Nb  0.500  0.000  0.000
Ga  0.500  0.500  0.500

---

# 3
The following is a GGA-PBE calculation of a geometry-optimized Nd12TmAl6 structure, from Alexandria.

Values from the calculation:
The spin magnetization is 0.000 μB/cell. For the final energy, the calculation gives -86.6 eV/cell. The theoretical density comes out at 6.313 g/cm3.

a = 8.159 Å, b = 8.159 Å, c = 8.159 Å
α = 88.12°, β = 88.12°, γ = 88.12°
Sites, in units of the cell vectors:
Nd  0.811  0.525  0.430
Nd  0.430  0.811  0.525
Nd  0.525  0.430  0.811
Nd  0.189  0.475  0.570
Nd  0.570  0.189  0.475
Nd  0.475  0.570  0.189
Nd  0.040  0.155  0.386
Nd  0.845  0.614  0.960
Nd  0.614  0.960  0.845
Nd  0.960  0.845  0.614
Nd  0.155  0.386  0.040
Nd  0.386  0.040  0.155
Tm  0.000  0.000  0.000
Al  0.739  0.888  0.258
Al  0.742  0.261  0.112
Al  0.112  0.742  0.261
Al  0.261  0.112  0.742
Al  0.258  0.739  0.888
Al  0.888  0.258  0.739

---

Which value of theoretical density does entry 3 give?
6.313 g/cm3

---

Look up the final energy of the third one.
-86.6 eV/cell

---

The lowest theoretical density belongs to which entry?
Li2AgI

---

What is the spin magnetization in the first record?
0.000 μB/cell